No. 1
Below is a geometry-optimized CaTa2BiB structure, with properties calculated at the PBE-GGA level.

Calculated values
The value obtained for the volume is 22.2 Å³ per atom. The formation energy comes out at 2493 meV/atom.

Structure (CIF):
```
data_CaTa2BiB
_symmetry_space_group_name_H-M 'P 4/m m m'
_symmetry_Int_Tables_number 123
_symmetry_space_group_name_Hall '-P 4 2'
_cell_length_a 4.995
_cell_length_b 4.995
_cell_length_c 4.457
_cell_angle_alpha 90.00
_cell_angle_beta 90.00
_cell_angle_gamma 90.00
loop_
_atom_site_label
_atom_site_fract_x
_atom_site_fract_y
_atom_site_fract_z
_atom_site_occupancy
Ca1 0.000 0.000 0.000 1
Ta1 0.000 0.500 0.000 1
Bi1 0.500 0.500 0.500 1
B1 0.000 0.000 0.500 1
```


No. 2
Below is a geometry-optimized CeHoMgSn structure, with properties calculated at the PBE-GGA level.

Calculated values
The value obtained for the volume is 27.0 Å³ per atom. The formation energy comes out at -335 meV/atom.

Structure (CIF):
```
data_CeHoMgSn
_symmetry_space_group_name_H-M 'F -4 3 m'
_symmetry_Int_Tables_number 216
_symmetry_space_group_name_Hall 'F -4 2 3'
_cell_length_a 7.561
_cell_length_b 7.561
_cell_length_c 7.561
_cell_angle_alpha 90.00
_cell_angle_beta 90.00
_cell_angle_gamma 90.00
loop_
_atom_site_label
_atom_site_fract_x
_atom_site_fract_y
_atom_site_fract_z
_atom_site_occupancy
Ce1 0.000 0.000 0.000 1
Ho1 0.000 0.000 0.500 1
Mg1 0.250 0.250 0.750 1
Sn1 0.250 0.250 0.250 1
```


No. 3
Below is a geometry-optimized TiSb2TeSe structure, with properties calculated at the PBE-GGA level.

Calculated values
The polymorph energy (0 for the lowest one) comes out at 0.6102 eV per atom. The value obtained for the volume is 30.4 Å³ per atom. The formation energy from raw total energies is 78 kJ/mol of atoms.

Structure (CIF):
```
data_TiSb2TeSe
_symmetry_space_group_name_H-M 'P 4/m m m'
_symmetry_Int_Tables_number 123
_symmetry_space_group_name_Hall '-P 4 2'
_cell_length_a 5.342
_cell_length_b 5.342
_cell_length_c 5.318
_cell_angle_alpha 90.00
_cell_angle_beta 90.00
_cell_angle_gamma 90.00
loop_
_atom_site_label
_atom_site_fract_x
_atom_site_fract_y
_atom_site_fract_z
_atom_site_occupancy
Ti1 0.000 0.000 0.000 1
Sb1 0.000 0.500 0.500 1
Te1 0.500 0.500 0.000 1
Se1 0.500 0.500 0.500 1
```


| no. | size of the total moment (μB/atom) |
| --- | --- |
| 1 | 0.000 |
| 2 | 0.281 |
| 3 | 0.038 |